Compound: Be2TcAu
Source: Alexandria via LeMat-Bulk
Functional: PBE-GGA
Structure: optimized geometry

Values from the calculation:
Density (Mg/m³): 10.543
Volume (A^3/atom): 12.32
ΔH_f (0 K) (meV/atom): 12.1
Crystal system: monoclinic
VASP energy (eV per atom): -5.26
Energy relative to the lowest polymorph listed for this composition (meV/atom): 123
N(E_F) (states/eV/f.u.): 1.6

Cell and atoms, written as POSCAR:
```
Be2TcAu
1.0
4.491 -1.321 0.000
4.491 1.321 0.000
-1.254 0.000 4.154
Be Tc Au
2 1 1
direct
0.000 0.000 0.000 Be
0.717 0.717 0.346 Be
0.245 0.245 0.876 Tc
0.471 0.471 0.480 Au
```